Entry 1:
# Th2CrGa3Ni12 GGA-PBE optimized geometry
data_Th2CrGa3Ni12
_cell_length_a 8.9362
_cell_length_b 8.9362
_cell_length_c 8.9362
_cell_angle_alpha 40.48
_cell_angle_beta 40.48
_cell_angle_gamma 40.48
_symmetry_space_group_name_H-M 'P 1'
_symmetry_Int_Tables_number 1
loop_
_symmetry_equiv_pos_as_xyz
'x,y,z'
loop_
_atom_site_label
_atom_site_type_symbol
_atom_site_fract_x
_atom_site_fract_y
_atom_site_fract_z
Ga1 Ga 0.5000 0.0000 0.0000
Th1 Th 0.3488 0.3488 0.3488
Ni1 Ni 0.0772 0.0772 0.6446
Ni2 Ni 0.4183 0.4183 0.8102
Ga2 Ga 0.0000 0.5000 0.0000
Th2 Th 0.6512 0.6512 0.6512
Ni3 Ni 0.1898 0.5817 0.5817
Ni4 Ni 0.0772 0.6446 0.0772
Ni5 Ni 0.5817 0.5817 0.1898
Ni6 Ni 0.9228 0.3554 0.9228
Ni7 Ni 0.8102 0.4183 0.4183
Ga3 Ga 0.0000 0.0000 0.5000
Ni8 Ni 0.3554 0.9228 0.9228
Ni9 Ni 0.9228 0.9228 0.3554
Cr1 Cr 0.0000 0.0000 0.0000
Ni10 Ni 0.5817 0.1898 0.5817
Ni11 Ni 0.4183 0.8102 0.4183
Ni12 Ni 0.6446 0.0772 0.0772
# SG: R-3m
# spin magnetization: 1.6 μB/f.u.
# E_form: -0.01 eV/atom

Entry 2:
# Na2SrCdI6 GGA-PBE optimized geometry
data_Na2SrCdI6
_cell_length_a 6.7963
_cell_length_b 8.5824
_cell_length_c 8.5824
_cell_angle_alpha 90.00
_cell_angle_beta 90.00
_cell_angle_gamma 90.00
_symmetry_space_group_name_H-M 'P 1'
_symmetry_Int_Tables_number 1
loop_
_symmetry_equiv_pos_as_xyz
'x,y,z'
loop_
_atom_site_label
_atom_site_type_symbol
_atom_site_fract_x
_atom_site_fract_y
_atom_site_fract_z
Sr1 Sr 0.6356 0.5000 0.5000
I1 I 0.7508 0.2371 0.7629
I2 I 0.7508 0.2371 0.2371
I3 I 0.7508 0.7629 0.2371
I4 I 0.7508 0.7629 0.7629
I5 I 0.1661 0.5000 0.5000
Na1 Na 0.9142 0.0000 0.5000
I6 I 0.2070 0.0000 0.0000
Na2 Na 0.9142 0.5000 0.0000
Cd1 Cd 0.6065 0.0000 0.0000
# SG: P4mm
# spin magnetization: 0.0 μB/f.u.
# formation energy from raw total energies: -1.07 eV per atom